Here is a geometry-optimized Pr3URu3 structure from Alexandria via LeMat-Bulk. Energies are from PBE-GGA.

Cell lengths 3.9871, 6.6309, 13.9504 Å; angles 88.88, 81.78, 72.50 degrees
Last column: nearest neighbours and their distance in Å.
Fractional positions:
Pr 0.4904 0.3883 0.6310  6 Ru 3.11-3.26
Pr 0.5096 0.6117 0.3690  6 Ru 3.11-3.26
Pr 0.2631 0.2721 0.2017  2 Ru 2.83
Pr 0.6001 0.7270 0.0728  4 Ru 2.93-3.28
Pr 0.7369 0.7279 0.7983  2 Ru 2.83
U 0.7718 0.0616 0.3947  1 Ru 2.25
Ru 0.1034 0.8619 0.9313  1 Ru 2.55, 2 Pr 2.83
U 0.2282 0.9384 0.6053  1 Ru 2.25
Ru 0.8678 0.7305 0.5339  3 U 2.57-2.88
Ru 0.8966 0.1381 0.0687  1 Ru 2.55, 2 Pr 2.83
Pr 0.3999 0.2730 0.9272  4 Ru 2.93-3.28
Ru 0.9288 0.8930 0.2494  1 U 2.25
Ru 0.0712 0.1070 0.7506  1 U 2.25
Ru 0.1322 0.2695 0.4661  3 U 2.57-2.88

Properties
As for the final energy: -0.5768 Ry/atom. For the formation enthalpy at 0 K, the calculation gives -0.212 eV/atom.